DFT (PBE-GGA) results for a relaxed SrGdMg crystal.

Cell: 5.7849 5.7849 3.5936 Å, 90.00 90.00 120.00°
Space group P3m1 (No. 156)
Inequivalent atoms, fractional coordinates:
Sr 0.0000 0.0000 0.0000 (multiplicity 1)
Gd 0.6667 0.3333 0.3910 (multiplicity 1)
Mg 0.3333 0.6667 0.6827 (multiplicity 1)

Size of the total moment, μB per formula unit: 7.6
ΔE to the lowest computed polymorph, eV per formula unit: 0.40
Calculated formation energy, eV per atom: 0.165
ρ, g/cm³: 4.29

***

DFT (PBE-GGA) results for a relaxed CePuFeCo crystal.

Cell: 6.676 6.676 6.676 Å, 90.00 90.00 90.00°
Space group F-43m (No. 216)
Inequivalent atoms, fractional coordinates:
Ce 0.000 0.000 0.000 (multiplicity 4)
Pu 0.000 0.000 0.500 (multiplicity 4)
Fe 0.250 0.250 0.750 (multiplicity 4)
Co 0.250 0.250 0.250 (multiplicity 4)

Size of the total moment, μB per formula unit: 3.8
Calculated formation energy, eV per atom: 0.040
ρ, g/cm³: 11.14

***

DFT (PBE-GGA) results for a relaxed NpNiS4 crystal.

Cell: 8.677 6.487 9.022 Å, 90.00 90.00 90.00°
Space group Cmcm (No. 63)
Inequivalent atoms, fractional coordinates:
Np 0.000 0.141 0.250 (multiplicity 4)
Ni 0.000 0.366 0.750 (multiplicity 4)
S 0.000 0.172 0.553 (multiplicity 8)
S 0.201 0.440 0.250 (multiplicity 8)

Size of the total moment, μB per formula unit: 2.2
Formation energy from raw total energies, eV/atom: -0.56
ρ, g/cm³: 5.55

***

Copy entry 1 word for word.
DFT (PBE-GGA) results for a relaxed SrGdMg crystal.

Cell: 5.7849 5.7849 3.5936 Å, 90.00 90.00 120.00°
Space group P3m1 (No. 156)
Inequivalent atoms, fractional coordinates:
Sr 0.0000 0.0000 0.0000 (multiplicity 1)
Gd 0.6667 0.3333 0.3910 (multiplicity 1)
Mg 0.3333 0.6667 0.6827 (multiplicity 1)

Size of the total moment, μB per formula unit: 7.6
ΔE to the lowest computed polymorph, eV per formula unit: 0.40
Calculated formation energy, eV per atom: 0.165
ρ, g/cm³: 4.29

***

> Number 2 is which compound?

CePuFeCo